Record 1
A relaxed SmDyPdRu crystal, computed with GGA-PBE.

a = 3.459 Å, b = 3.459 Å, c = 7.107 Å
α = 90.00°, β = 90.00°, γ = 90.00°
Atoms (fractional coordinates):
Sm1 0.000 0.000 0.000
Dy1 0.000 0.000 0.479
Pd1 0.500 0.500 0.727
Ru1 0.500 0.500 0.245

- energy relative to the elements (meV/atom) = -608
- total magnetization (μB/atom) = 0.00
- energy relative to the lowest polymorph listed for this composition (meV/atom) = 0

---

Record 2
A relaxed Pu2ZnGe6Rh crystal, computed with GGA-PBE.

a = 13.782 Å, b = 13.782 Å, c = 13.782 Å
α = 25.44°, β = 25.44°, γ = 25.44°
Atoms (fractional coordinates):
Pu1 0.125 0.125 0.125
Pu2 0.272 0.272 0.272
Pu3 0.728 0.728 0.728
Pu4 0.875 0.875 0.875
Zn1 0.424 0.424 0.424
Zn2 0.576 0.576 0.576
Ge1 0.075 0.660 0.660
Ge2 0.196 0.196 0.757
Ge3 0.196 0.757 0.196
Ge4 0.243 0.804 0.804
Ge5 0.340 0.340 0.925
Ge6 0.340 0.925 0.340
Ge7 0.660 0.075 0.660
Ge8 0.660 0.660 0.075
Ge9 0.757 0.196 0.196
Ge10 0.804 0.243 0.804
Ge11 0.804 0.804 0.243
Ge12 0.925 0.340 0.340
Rh1 0.000 0.000 0.000
Rh2 0.500 0.500 0.500

- energy relative to the elements (meV/atom) = -150
- total magnetization (μB/atom) = 1.06

---

Record 3
A relaxed Pu5Sb2As2 crystal, computed with GGA-PBE.

a = 8.670 Å, b = 8.670 Å, c = 7.952 Å
α = 90.00°, β = 90.00°, γ = 54.41°
Atoms (fractional coordinates):
Pu1 0.000 0.000 0.000
Pu2 0.028 0.718 0.655
Pu3 0.218 0.528 0.155
Pu4 0.282 0.972 0.655
Pu5 0.472 0.782 0.155
Pu6 0.500 0.500 0.500
Pu7 0.528 0.218 0.845
Pu8 0.718 0.028 0.345
Pu9 0.782 0.472 0.845
Pu10 0.972 0.282 0.345
Sb1 0.203 0.203 0.000
Sb2 0.297 0.297 0.500
Sb3 0.703 0.703 0.500
Sb4 0.797 0.797 0.000
As1 0.148 0.852 0.352
As2 0.352 0.648 0.852
As3 0.648 0.352 0.148
As4 0.852 0.148 0.648

- total magnetization (μB/atom) = 3.11
- formation energy without anion corrections (eV per atom) = -0.76

---

Record 4
A relaxed PrNd2I crystal, computed with GGA-PBE.

a = 11.115 Å, b = 11.115 Å, c = 11.115 Å
α = 20.01°, β = 20.01°, γ = 20.01°
Atoms (fractional coordinates):
Pr1 0.000 0.000 0.000
Nd1 0.577 0.577 0.577
Nd2 0.756 0.756 0.756
I1 0.167 0.167 0.167

- total magnetization (μB/atom) = 0.05
- formation energy without anion corrections (eV per atom) = -0.38
- energy relative to the lowest polymorph listed for this composition (meV/atom) = 32